# Tc2HRhW | the Alexandria database | GGA-PBE | relaxed
# V ... 12.25 Å³ per atom
# Calculated total energy ... -8.89 eV per atom
data_Tc2HRhW
_chemical_formula_sum 'Tc2 H1 Rh1 W1'
_symmetry_space_group_name_H-M 'P 4/m m m'
_symmetry_Int_Tables_number 123
_symmetry_space_group_name_Hall '-P 4 2'
_cell_length_a 3.908
_cell_length_b 3.908
_cell_length_c 4.011
_cell_angle_alpha 90.00
_cell_angle_beta 90.00
_cell_angle_gamma 90.00
loop_
_atom_site_label
_atom_site_type_symbol
_atom_site_fract_x
_atom_site_fract_y
_atom_site_fract_z
Tc1 Tc 0.000 0.500 0.000
H1 H 0.000 0.000 0.000
Rh1 Rh 0.500 0.500 0.500
W1 W 0.000 0.000 0.500